Record 1
Material: ZrTcRh3
Method: DFT, PBE
State: relaxed

Cell lengths 4.7479, 4.7479, 4.7479 Å; angles 90.00, 90.00, 90.00 degrees
With the nearest neighbours (Å) after each atom.
Space group Pm-3m (No. 221)
Inequivalent atoms, fractional coordinates:
Zr 0.0000 0.0000 0.0000 x1  6 Rh 2.37
Tc 0.5000 0.5000 0.5000 x1  12 Rh 3.36
Rh 0.0000 0.0000 0.5000 x3  2 Zr 2.37

Its polymorph energy (0 for the lowest one) is 470.1 meV/atom. The calculation puts the energy at -6.94 eV per atom. As for the energy of formation from the pure elements: 1.2534 eV per atom.

---

Record 2
Material: Zr2TcRh2
Method: DFT, PBE
State: relaxed

Cell lengths 7.1493, 7.1493, 3.4915 Å; angles 90.00, 90.00, 90.00 degrees
With the nearest neighbours (Å) after each atom.
Space group P4/mbm (No. 127)
Inequivalent atoms, fractional coordinates:
Zr 0.1762 0.3239 0.0000 x4  6 Rh 2.63-2.81
Tc 0.0000 0.0000 0.5000 x2  4 Rh 2.81
Rh 0.1291 0.6291 0.5000 x4  1 Rh 2.61, 6 Zr 2.63-2.81, 2 Tc 2.81

Its polymorph energy (0 for the lowest one) is 0.0 meV/atom. The calculation puts the energy at -8.79 eV per atom. As for the energy of formation from the pure elements: -0.3586 eV per atom.

---

Record 3
Material: Zr3TcRh2
Method: DFT, PBE
State: relaxed

Cell lengths 3.3228, 3.3228, 9.7440 Å; angles 90.00, 90.00, 90.00 degrees
With the nearest neighbours (Å) after each atom.
Space group P4/mmm (No. 123)
Inequivalent atoms, fractional coordinates:
Zr 0.0000 0.0000 0.0000 x1  8 Rh 2.83
Zr 0.0000 0.0000 0.3369 x2  4 Tc 2.84, 4 Rh 2.90
Tc 0.5000 0.5000 0.5000 x1  8 Zr 2.84
Rh 0.5000 0.5000 0.1624 x2  8 Zr 2.83-2.90, 1 Rh 3.16

The calculation puts the energy at -9.15 eV per atom. As for the energy of formation from the pure elements: -0.6971 eV per atom.

---

Record 4
Material: Zr2TcRh2
Method: DFT, PBE
State: relaxed

Cell lengths 5.1473, 5.1473, 7.4605 Å; angles 90.00, 90.00, 90.00 degrees
With the nearest neighbours (Å) after each atom.
Space group I4/mmm (No. 139)
Inequivalent atoms, fractional coordinates:
Zr 0.0000 0.5000 0.2500 x4  4 Rh 2.65
Tc 0.0000 0.0000 0.0000 x2  2 Rh 2.51
Rh 0.0000 0.0000 0.3367 x4  1 Rh 2.44, 1 Tc 2.51, 4 Zr 2.65

Its polymorph energy (0 for the lowest one) is 439.3 meV/atom. The calculation puts the energy at -8.35 eV per atom. As for the energy of formation from the pure elements: 0.0806 eV per atom.

---

Record 5
Material: Zr4TcRh
Method: DFT, PBE
State: relaxed

Cell lengths 6.4730, 6.4788, 6.4452 Å; angles 90.00, 95.79, 90.00 degrees
With the nearest neighbours (Å) after each atom.
Space group C2/m (No. 12)
Inequivalent atoms, fractional coordinates:
Zr 0.2471 0.2501 0.2470 x8  2 Tc 2.68-2.89, 2 Rh 2.73-2.89
Tc 0.0000 0.0000 0.0000 x2  8 Zr 2.68-2.89
Rh 0.0000 0.5000 0.5000 x2  8 Zr 2.73-2.89

Its polymorph energy (0 for the lowest one) is 236.2 meV/atom. The calculation puts the energy at -8.82 eV per atom. As for the energy of formation from the pure elements: -0.1716 eV per atom.

---

Record 6
Material: Zr2Tc2Rh
Method: DFT, PBE
State: relaxed

Cell lengths 7.4319, 7.4319, 3.2671 Å; angles 90.00, 90.00, 90.00 degrees
With the nearest neighbours (Å) after each atom.
Space group P4/mbm (No. 127)
Inequivalent atoms, fractional coordinates:
Zr 0.1514 0.3486 0.0000 x4  6 Tc 2.63-2.79, 2 Rh 2.82
Tc 0.1521 0.6521 0.5000 x4  6 Zr 2.63-2.79
Rh 0.0000 0.0000 0.0000 x2  4 Zr 2.82

Its polymorph energy (0 for the lowest one) is 217.8 meV/atom. The calculation puts the energy at -8.84 eV per atom. As for the energy of formation from the pure elements: 0.1995 eV per atom.